# 1
Material: In2AsOsN
Method: DFT, GGA-PBE
State: optimized geometry

The calculation puts the formation energy from raw total energies at 97 kJ per mole of atoms. The polymorph energy (0 for the lowest one) is 58.6 kJ per mole of atoms. Its crystal system is tetragonal.

It has space group P4/mmm (No. 123), with a = 4.5196 Å, b = 4.5196 Å, c = 4.1896 Å, α = 90.00°, β = 90.00° and γ = 90.00°. The distinct sites, in fractional coordinates, are In at (0.0000, 0.5000, 0.0000), As at (0.0000, 0.0000, 0.5000), Os at (0.5000, 0.5000, 0.5000) and N at (0.0000, 0.0000, 0.0000).

# 2
Material: InCoCu2Si
Method: DFT, GGA-PBE
State: optimized geometry

The calculation puts the formation energy from raw total energies at 38 kJ per mole of atoms. Its crystal system is tetragonal.

It has space group P4/mmm (No. 123), with a = 4.3964 Å, b = 4.3964 Å, c = 4.3197 Å, α = 90.00°, β = 90.00° and γ = 90.00°. The distinct sites, in fractional coordinates, are In at (0.0000, 0.0000, 0.0000), Co at (0.5000, 0.5000, 0.0000), Cu at (0.0000, 0.5000, 0.5000) and Si at (0.5000, 0.5000, 0.5000).

# 3
Material: Sn3B2Pt9
Method: DFT, GGA-PBE
State: optimized geometry

Its crystal system is hexagonal. The formation energy comes out at -4.51 eV per formula unit.

It has space group P6_3/mmc (No. 194), with a = 5.5325 Å, b = 5.5325 Å, c = 17.9277 Å, α = 90.00°, β = 90.00° and γ = 120.00°. The distinct sites, in fractional coordinates, are Sn at (0.0000, 0.0000, 0.2500), Sn at (0.3333, 0.6667, 0.0522), B at (0.3333, 0.6667, 0.6642), Pt at (0.0010, 0.5005, 0.2500) and Pt at (0.1651, 0.3303, 0.5849).

# 4
Material: Tm3AlH
Method: DFT, GGA-PBE
State: optimized geometry

Its total DFT energy (no corrections) is -0.3220 Ry per atom. Its crystal system is cubic.

It has space group Pm-3m (No. 221), with a = 4.6942 Å, b = 4.6942 Å, c = 4.6942 Å, α = 90.00°, β = 90.00° and γ = 90.00°. The distinct sites, in fractional coordinates, are Tm at (0.0000, 0.0000, 0.5000), Al at (0.5000, 0.5000, 0.5000) and H at (0.0000, 0.0000, 0.0000).

# 5
Material: YNi2Br
Method: DFT, GGA-PBE
State: optimized geometry

The calculation puts the formation energy from raw total energies at -25 kJ per mole of atoms. The polymorph energy (0 for the lowest one) is 20.4 kJ per mole of atoms. Its crystal system is monoclinic.

It has space group Pm (No. 6), with a = 3.3813 Å, b = 3.3714 Å, c = 7.5087 Å, α = 90.00°, β = 102.95° and γ = 90.00°. The distinct sites, in fractional coordinates, are Y at (0.0000, 0.0000, 0.0000), Ni at (0.1702, 0.0000, 0.3364), Ni at (0.6259, 0.5000, 0.2477) and Br at (0.3761, 0.5000, 0.7508).

# 6
Material: PmUSi2
Method: DFT, GGA-PBE
State: optimized geometry

The calculation puts the formation energy from raw total energies at -18 kJ per mole of atoms. The polymorph energy (0 for the lowest one) is 7.1 kJ per mole of atoms. Its crystal system is trigonal.

It has space group R-3m (No. 166, hexagonal axes), with a = 4.6137 Å, b = 4.6137 Å, c = 14.9751 Å, α = 90.00°, β = 90.00° and γ = 120.00°. The distinct sites, in fractional coordinates, are Pm at (0.0000, 0.0000, 0.0000), U at (0.0000, 0.0000, 0.5000) and Si at (0.0000, 0.0000, 0.2386).